No. 1
A plane-wave DFT calculation with GGA-PBE was carried out for crystalline NbCuSbO6 at its relaxed geometry.

Lattice parameters (Å, degrees): 5.275 5.275 8.998 90.00 90.00 120.00
Each line ends with the local moment (μB).
Sites, in units of the cell vectors:
Nb  0.667  0.333  0.250  -0.01
Nb  0.333  0.667  0.750  -0.01
Cu  0.000  0.000  0.000  0.64
Cu  0.000  0.000  0.500  0.64
Sb  0.333  0.667  0.250  0.00
Sb  0.667  0.333  0.750  0.00
O  0.649  0.650  0.131  0.06
O  0.002  0.351  0.131  0.06
O  0.351  0.002  0.631  0.06
O  0.998  0.649  0.869  0.06
O  0.350  0.351  0.369  0.06
O  0.002  0.650  0.369  0.06
O  0.650  0.002  0.869  0.06
O  0.649  0.998  0.369  0.06
O  0.998  0.350  0.631  0.06
O  0.350  0.998  0.131  0.06
O  0.650  0.649  0.631  0.06
O  0.351  0.350  0.869  0.06

=====

No. 2
A plane-wave DFT calculation with GGA-PBE was carried out for crystalline NbCuSeO5 at its relaxed geometry.

Lattice parameters (Å, degrees): 6.030 6.030 7.873 106.25 106.25 113.44
Sites, in units of the cell vectors:
Nb  0.000  0.000  0.500
Nb  0.000  0.000  0.000
Cu  0.309  0.691  0.250
Cu  0.691  0.309  0.750
Se  0.725  0.275  0.250
Se  0.275  0.725  0.750
O  0.035  0.965  0.250
O  0.965  0.035  0.750
O  0.013  0.349  0.116
O  0.987  0.651  0.884
O  0.651  0.987  0.384
O  0.349  0.013  0.616
O  0.811  0.585  0.419
O  0.189  0.415  0.581
O  0.415  0.189  0.081
O  0.585  0.811  0.919

=====

No. 3
A plane-wave DFT calculation with GGA-PBE was carried out for crystalline SrNb3Cu4O12 at its relaxed geometry.

Lattice parameters (Å, degrees): 6.863 6.863 6.863 106.58 106.58 106.58
Each line ends with the local moment (μB).
Sites, in units of the cell vectors:
Sr  0.000  0.000  0.000  0.00
Nb  0.559  0.441  0.000  -0.01
Nb  0.441  0.000  0.559  -0.01
Nb  0.000  0.559  0.441  -0.01
Cu  0.929  0.071  0.500  0.47
Cu  0.071  0.500  0.929  0.47
Cu  0.500  0.929  0.071  0.47
Cu  0.500  0.500  0.500  0.49
O  0.500  0.329  0.671  0.09
O  0.897  0.500  0.103  0.13
O  0.103  0.897  0.500  0.13
O  0.500  0.103  0.897  0.13
O  0.360  0.995  0.263  0.07
O  0.263  0.360  0.995  0.07
O  0.995  0.263  0.360  0.07
O  0.640  0.737  0.005  0.07
O  0.005  0.640  0.737  0.07
O  0.737  0.005  0.640  0.07
O  0.671  0.500  0.329  0.09
O  0.329  0.671  0.500  0.09

=====

No. 4
A plane-wave DFT calculation with GGA-PBE was carried out for crystalline Sr4Nb3CuO12 at its relaxed geometry.

Lattice parameters (Å, degrees): 7.083 7.083 7.083 109.47 109.47 109.47
Each line ends with the local moment (μB).
Sites, in units of the cell vectors:
Sr  0.500  0.500  0.500  0.00
Sr  0.000  0.000  0.500  0.00
Sr  0.500  0.000  0.000  0.00
Sr  0.000  0.500  0.000  0.00
Nb  0.500  0.000  0.500  0.00
Nb  0.500  0.500  0.000  0.00
Nb  0.000  0.500  0.500  0.00
Cu  0.000  0.000  0.000  0.20
O  0.250  0.500  0.750  0.00
O  0.738  0.000  0.738  0.01
O  0.262  0.000  0.262  0.01
O  0.750  0.500  0.250  0.00
O  0.738  0.738  0.000  0.01
O  0.262  0.262  0.000  0.01
O  0.750  0.250  0.500  0.00
O  0.250  0.750  0.500  0.00
O  0.500  0.250  0.750  0.00
O  0.000  0.738  0.738  0.01
O  0.500  0.750  0.250  0.00
O  0.000  0.262  0.262  0.01

=====

Number 1: raw formation energy -1.47 eV per atom. Number 2: raw formation energy -1.26 eV per atom. Number 3: raw formation energy -1.78 eV per atom. Number 4: raw formation energy -2.58 eV per atom.